AlReW: single point on PBEsol structure, meta-GGA SCAN.

Calculated values
V   88 Å³/cell
Formation energy   -0.239 eV per atom

```
data_AlReW
_cell_length_a 3.1070
_cell_length_b 3.1070
_cell_length_c 9.1417
_cell_angle_alpha 90.00
_cell_angle_beta 90.00
_cell_angle_gamma 90.00
_symmetry_space_group_name_H-M 'I 4 m m'
_symmetry_Int_Tables_number 107
_symmetry_space_group_name_Hall 'I 4 -2'
loop_
_atom_site_label
_atom_site_type_symbol
_atom_site_fract_x
_atom_site_fract_y
_atom_site_fract_z
Al1 Al 0.0000 0.0000 0.0000
Re1 Re 0.0000 0.0000 0.6680
W1 W 0.0000 0.0000 0.3229
```